# 1
PBE-GGA TlI2NO, optimized geometry; formation energy from raw total energies = 1.342 eV/atom; DOS at the Fermi energy = 5.1 states/eV per cell; energy above the lowest structure with this stoichiometry = 371 meV per atom; E = -2.408 eV/atom
1.0
6.0885 0.0000 0.0000
0.0000 6.0885 0.0000
0.0000 0.0000 4.5585
N O Tl I
1 1 1 2
Direct
0.0000 0.0000 0.5000
0.5000 0.5000 0.5000
0.0000 0.0000 0.0000
0.5000 0.0000 0.0000
0.0000 0.5000 0.0000

# 2
PBE-GGA Pt2W3N, optimized geometry; formation energy from raw total energies = -0.267 eV/atom; DOS at the Fermi energy = 6.8 states/eV per cell; E = -10.145 eV/atom
1.0
-0.8629 5.9699 3.3830
-4.8009 -2.9613 4.0013
4.9026 -1.8492 4.5137
W Pt N
12 8 4
Direct
0.8017 0.9483 0.3750
0.5517 0.6250 0.3017
0.0517 0.8750 0.6983
0.6983 0.0517 0.8750
0.1983 0.4483 0.1250
0.3017 0.5517 0.6250
0.4483 0.1250 0.1983
0.8750 0.6983 0.0517
0.3750 0.8017 0.9483
0.9483 0.3750 0.8017
0.1250 0.1983 0.4483
0.6250 0.3017 0.5517
0.9455 0.5545 0.4455
0.1955 0.8045 0.3045
0.6955 0.6955 0.6955
0.5545 0.4455 0.9455
0.3045 0.1955 0.8045
0.8045 0.3045 0.1955
0.4455 0.9455 0.5545
0.0545 0.0545 0.0545
0.1250 0.6250 0.8750
0.8750 0.1250 0.6250
0.6250 0.8750 0.1250
0.3750 0.3750 0.3750

# 3
PBE-GGA LiIn2Hg, optimized geometry; DOS at the Fermi energy = 1.2 states/eV per cell; E = -2.067 eV/atom
1.0
4.4919 0.0000 0.0000
0.0000 3.2754 -0.0605
0.0000 2.6907 6.3194
In Hg Li
2 1 1
Direct
0.5000 0.2124 0.2558
0.0000 0.9224 0.0040
0.5000 0.8473 0.7182
0.0000 0.5179 0.5219

# 4
PBE-GGA BaHg4Rh, optimized geometry; DOS at the Fermi energy = 3.9 states/eV per cell; energy above the lowest structure with this stoichiometry = 283 meV per atom; E = -1.718 eV/atom
1.0
0.0000 4.2309 4.2309
4.2309 0.0000 4.2309
4.2309 4.2309 0.0000
Hg Ba Rh
4 1 1
Direct
0.3764 0.3764 0.3764
0.8708 0.3764 0.3764
0.3764 0.3764 0.8708
0.3764 0.8708 0.3764
0.0000 0.0000 0.0000
0.7500 0.7500 0.7500

# 5
PBE-GGA Sc6GeSe2S3, optimized geometry; formation energy from raw total energies = -1.633 eV/atom; DOS at the Fermi energy = 6.4 states/eV per cell; E = -6.796 eV/atom
1.0
6.5562 0.0024 0.0004
-3.2744 5.6799 0.0004
-1.0945 -1.8951 6.2013
Ge S Sc Se
1 3 6 2
Direct
0.0000 0.0000 0.0000
0.8302 0.1698 0.5000
0.5000 0.5000 0.5000
0.1698 0.8302 0.5000
0.2334 0.2334 0.7361
0.9126 0.5904 0.7350
0.4096 0.0874 0.2650
0.7666 0.7666 0.2639
0.5904 0.9126 0.7350
0.0874 0.4096 0.2650
0.6664 0.3336 0.0000
0.3336 0.6664 0.0000

# 6
PBE-GGA SnGeBi, optimized geometry; DOS at the Fermi energy = 2.7 states/eV per cell; energy above the lowest structure with this stoichiometry = 0 meV per atom; E = -4.029 eV/atom
1.0
-3.4505 -1.7621 -2.2335
0.2007 -6.2363 0.9210
-4.7609 -0.5540 4.1011
Ge Sn Bi
2 2 2
Direct
0.7885 0.6562 0.4499
0.8704 0.3524 0.1453
0.4039 0.0976 0.3454
0.2555 0.4555 0.7041
0.8296 0.0334 0.7673
0.3292 0.7390 0.0626

# 7
PBE-GGA TaZnCr2, optimized geometry; DOS at the Fermi energy = 3.0 states/eV per cell; E = -7.878 eV/atom
1.0
3.3230 0.0000 0.0000
0.0000 4.2062 0.0000
0.0000 0.0000 4.0575
Zn Cr Ta
1 2 1
Direct
0.0000 0.5000 0.5000
0.0000 0.0000 0.0000
0.5000 0.5000 0.0000
0.5000 0.0000 0.5000

# 8
PBE-GGA Be8VCu3, optimized geometry; DOS at the Fermi energy = 5.2 states/eV per cell; E = -4.342 eV/atom
1.0
4.2787 0.0000 0.0000
-2.1394 3.7055 0.0000
0.0000 0.0000 7.0604
Be Cu V
8 3 1
Direct
0.4993 0.5007 0.7532
0.1644 0.8356 0.2481
0.6711 0.8356 0.2481
0.1644 0.3289 0.2481
0.3333 0.6667 0.5012
0.3333 0.6667 0.0049
0.4993 0.9986 0.7532
0.0014 0.5007 0.7532
0.0000 0.0000 0.9354
0.6667 0.3333 0.0576
0.6667 0.3333 0.4375
0.0000 0.0000 0.5594

# 9
PBE-GGA Pu3Mg5H12, optimized geometry; DOS at the Fermi energy = 88.3 states/eV per cell; E = -4.750 eV/atom
1.0
10.6348 0.0000 0.0000
-3.5449 10.0266 0.0000
-3.5449 -5.0133 8.6833
H Mg Pu
48 20 12
Direct
0.1729 0.0853 0.7175
0.8678 0.5853 0.9124
0.9554 0.5876 0.1729
0.3678 0.9554 0.7825
0.4147 0.2825 0.3271
0.5446 0.3271 0.9124
0.4124 0.0446 0.3271
0.8271 0.9124 0.0446
0.4554 0.6729 0.0876
0.6729 0.2175 0.5853
0.5446 0.2175 0.1322
0.6322 0.5876 0.9147
0.1322 0.7175 0.5446
0.0876 0.1729 0.4554
0.3271 0.5446 0.4124
0.3678 0.4124 0.0853
0.0446 0.4124 0.8271
0.1729 0.0876 0.9554
0.8678 0.2825 0.4554
0.5876 0.6322 0.4147
0.2175 0.6729 0.0853
0.7175 0.1322 0.0446
0.2175 0.5446 0.6322
0.3271 0.7825 0.4147
0.0446 0.6322 0.7175
0.4554 0.7825 0.8678
0.9147 0.0876 0.6322
0.9124 0.0853 0.8678
0.1322 0.4147 0.0876
0.7175 0.5853 0.1729
0.2825 0.4147 0.8271
0.4124 0.3678 0.5853
0.0876 0.9147 0.1322
0.6729 0.4554 0.5876
0.5876 0.9554 0.6729
0.9147 0.8271 0.7825
0.5853 0.7175 0.6729
0.5853 0.8678 0.4124
0.6322 0.0446 0.2175
0.9124 0.8271 0.5446
0.7825 0.4554 0.3678
0.0853 0.1729 0.2175
0.4147 0.1322 0.5876
0.9554 0.3678 0.2825
0.7825 0.3271 0.9147
0.2825 0.8678 0.9554
0.0853 0.9124 0.3678
0.8271 0.9147 0.2825
0.0000 0.0000 0.0000
0.0000 0.5000 0.0000
0.0000 0.5000 0.5000
0.5000 0.5000 0.5000
0.5000 0.5000 0.0000
0.2500 0.3750 0.6250
0.7500 0.6250 0.3750
0.1250 0.3750 0.2500
0.8750 0.2500 0.6250
0.3750 0.1250 0.7500
0.2500 0.8750 0.1250
0.5000 0.0000 0.5000
0.6250 0.8750 0.2500
0.1250 0.7500 0.3750
0.6250 0.7500 0.8750
0.7500 0.1250 0.8750
0.8750 0.6250 0.7500
0.5000 0.0000 0.0000
0.0000 0.0000 0.5000
0.3750 0.2500 0.1250
0.7500 0.3750 0.1250
0.8750 0.7500 0.1250
0.8750 0.1250 0.2500
0.6250 0.3750 0.7500
0.7500 0.8750 0.6250
0.2500 0.1250 0.3750
0.3750 0.6250 0.2500
0.2500 0.6250 0.8750
0.6250 0.2500 0.3750
0.1250 0.2500 0.8750
0.1250 0.8750 0.7500
0.3750 0.7500 0.6250

# 10
PBE-GGA Ta4FeH5, optimized geometry; DOS at the Fermi energy = 5.3 states/eV per cell; E = -7.078 eV/atom
1.0
-0.6700 -2.7435 1.5684
2.0407 -3.2001 -4.7261
4.2073 2.9810 3.6853
H Ta Fe
5 4 1
Direct
0.1932 0.9911 0.3864
0.8068 0.6047 0.6136
0.5000 0.5000 0.0000
0.8068 0.0089 0.6136
0.1932 0.3953 0.3864
0.2707 0.7707 0.5413
0.0000 0.2775 0.0000
0.0000 0.7225 0.0000
0.7293 0.2293 0.4587
0.5000 0.0000 0.0000

# 11
PBE-GGA Pu2TlHg, optimized geometry; DOS at the Fermi energy = 12.4 states/eV per cell; E = -7.767 eV/atom
1.0
5.2809 0.0000 0.0000
2.6404 4.5734 0.0000
2.6404 1.5245 4.3129
Pu Tl Hg
2 1 1
Direct
0.0000 0.0000 0.0000
0.2500 0.2500 0.2499
0.4999 0.4999 0.5002
0.7500 0.7500 0.7499

# 12
PBE-GGA Cs3Te2Br8, optimized geometry; formation energy from raw total energies = -0.803 eV/atom; DOS at the Fermi energy = 6.8 states/eV per cell; E = -2.513 eV/atom
1.0
7.7452 0.0000 0.0000
3.8726 6.7075 0.0000
3.8726 2.2358 11.2299
Br Cs Te
8 3 2
Direct
0.2137 0.7349 0.3166
0.7349 0.7349 0.3166
0.7863 0.2651 0.6834
0.3101 0.3101 0.0696
0.2651 0.2651 0.6834
0.6899 0.6899 0.9304
0.2651 0.7863 0.6834
0.7349 0.2137 0.3166
0.0000 0.0000 0.0000
0.2029 0.2029 0.3914
0.7971 0.7971 0.6086
0.3916 0.3916 0.8253
0.6084 0.6084 0.1747

Spin magnetization values (in μB per cell) by entry order: 4.32 0.00 0.00 0.00 0.00 0.00 1.17 1.88 71.62 0.00 12.55 3.06.